! La2CoCu3Ni12, optimized geometry, DFT PBE; values from VASP
! Fermi-level density of states (states/eV per cell): 23.25
! Space group: R-3m
! Total magnetization (μB per atom): 0.2588
! Electronic total energy (eV/f.u.): -94.4
! Calculated formation energy (eV per atom): 0.2354
&SYSTEM
  ibrav = 0, nat = 18, ntyp = 4
/
ATOMIC_SPECIES
La 138.91 La.upf
Co 58.93 Co.upf
Cu 63.55 Cu.upf
Ni 58.69 Ni.upf
CELL_PARAMETERS angstrom
-7.260 4.234 -3.556
-8.343 2.947 2.235
-4.881 7.670 0.792
ATOMIC_POSITIONS angstrom
La -13.456 9.756 -0.348
La -7.027 5.095 -0.182
Co 0.000 0.000 0.000
Cu -3.630 2.117 -1.778
Cu -4.171 1.474 1.117
Cu -2.441 3.835 0.396
Ni -10.543 9.256 0.086
Ni -16.267 9.359 -0.962
Ni -14.864 11.384 1.601
Ni -11.471 7.915 -1.611
Ni -14.226 12.143 -1.812
Ni -11.894 7.413 0.649
Ni -9.941 5.595 -0.615
Ni -4.217 5.493 0.432
Ni -5.619 3.467 -2.131
Ni -9.013 6.936 1.082
Ni -6.257 2.709 1.283
Ni -8.590 7.438 -1.179